Entry 1:
Here is Pm2Zn4GaPt3 after structural relaxation from the Alexandria database. Energies are from PBE-GGA.

Calculated values
For the density, the calculation gives 10.5 g/cm³. The value obtained for the energy relative to the elements is -0.711 eV/atom. The calculation puts the total moment at 0.00 μB/f.u.

```
Pm2Zn4GaPt3
1.0
-1.984 0.018 -3.501
2.090 -3.223 -1.201
-8.204 -7.037 4.612
Ga Pt Zn Pm
1 3 4 2
Cartesian
-4.049 -5.121 -0.045
-8.013 -6.013 2.196
-4.102 -3.519 2.306
-0.139 -2.627 0.065
-6.231 -4.485 1.194
0.053 -1.602 -2.351
0.000 0.000 0.000
-1.920 -4.155 1.066
-5.152 -6.926 2.883
-3.000 -1.713 -0.622
```

=====

Entry 2:
Here is PmZnGaPt3 after structural relaxation from the Alexandria database. Energies are from PBE-GGA.

Calculated values
For the density, the calculation gives 12.3 g/cm³. The value obtained for the energy relative to the elements is -0.645 eV/atom. The calculation puts the total moment at 0.00 μB/f.u.

```
PmZnGaPt3
1.0
5.691 0.000 0.000
0.000 6.792 0.000
0.000 -3.396 6.038
Pt Zn Ga Pm
6 2 2 2
Cartesian
2.845 1.982 0.000
1.423 0.000 2.043
4.268 3.396 3.995
2.845 4.810 0.000
0.000 1.982 0.000
0.000 4.810 0.000
1.423 3.396 5.448
4.268 0.000 0.590
4.268 3.396 1.573
1.423 0.000 4.464
1.423 3.396 2.459
4.268 0.000 3.579
```

=====

Entry 3:
Here is Pm2ZnGa3Pt4 after structural relaxation from the Alexandria database. Energies are from PBE-GGA.

Calculated values
For the density, the calculation gives 11.7 g/cm³. The value obtained for the energy relative to the elements is -0.926 eV/atom. The calculation puts the total moment at 0.00 μB/f.u.

```
Pm2ZnGa3Pt4
1.0
-0.516 3.674 1.871
-4.109 -0.617 0.079
0.925 -4.898 9.872
Ga Pt Zn Pm
3 4 1 2
Cartesian
0.543 -2.408 9.491
-1.931 -0.962 1.356
0.462 -2.449 4.936
0.000 0.000 0.000
-2.312 1.528 0.975
-1.722 -2.069 3.587
0.334 -1.301 7.260
-1.850 -0.921 5.911
-1.363 -3.972 7.421
-0.025 0.602 3.425
```